No. 1
# K2NpZnSe4 PBE optimized geometry
# Volume: 28.95 Å³ per atom
# Formation energy without anion corrections: -972.9 meV per atom
# Total DFT energy (no corrections): -152.52 eV/cell
data_K2NpZnSe4
_symmetry_space_group_name_H-M 'C 1 2/c 1'
_symmetry_Int_Tables_number 15
_cell_length_a 11.761
_cell_length_b 12.558
_cell_length_c 8.598
_cell_angle_alpha 90.00
_cell_angle_beta 133.15
_cell_angle_gamma 90.00
loop_
_symmetry_equiv_pos_as_xyz
'x,y,z'
'-x,-y,-z'
'-x,y,-z+1/2'
'x,-y,z+1/2'
'x+1/2,y+1/2,z'
'-x+1/2,-y+1/2,-z'
'-x+1/2,y+1/2,-z+1/2'
'x+1/2,-y+1/2,z+1/2'
loop_
_atom_site_label
_atom_site_type_symbol
_atom_site_fract_x
_atom_site_fract_y
_atom_site_fract_z
K1 K 0.000 0.000 0.000
K2 K 0.250 0.250 0.000
Np1 Np 0.000 0.500 0.000
Zn1 Zn 0.250 0.250 0.500
Se1 Se 0.036 0.270 0.490
Se2 Se 0.214 0.499 0.455

No. 2
# Tm2B2SbRh5 PBE optimized geometry
# Volume: 14.85 Å³ per atom
# Formation energy without anion corrections: -830.3 meV per atom
# Total DFT energy (no corrections): -142.96 eV/cell
data_Tm2B2SbRh5
_symmetry_space_group_name_H-M 'P 4/m b m'
_symmetry_Int_Tables_number 127
_symmetry_space_group_name_Hall '-P 4 2ab'
_cell_length_a 9.481
_cell_length_b 9.481
_cell_length_c 3.305
_cell_angle_alpha 90.00
_cell_angle_beta 90.00
_cell_angle_gamma 90.00
loop_
_atom_site_label
_atom_site_type_symbol
_atom_site_fract_x
_atom_site_fract_y
_atom_site_fract_z
Tm1 Tm 0.175 0.325 0.000
B1 B 0.120 0.620 0.000
Sb1 Sb 0.000 0.000 0.000
Rh1 Rh 0.000 0.500 0.500
Rh2 Rh 0.071 0.777 0.500

No. 3
# Sr3Fe5 PBE optimized geometry
# ΔE_f: 868 meV per atom
# Volume: 21.74 Å³ per atom
# Total DFT energy (no corrections): -80.83 eV/cell
data_Sr3Fe5
_symmetry_space_group_name_H-M 'C m m m'
_symmetry_Int_Tables_number 65
_symmetry_space_group_name_Hall '-C 2 2'
_cell_length_a 6.765
_cell_length_b 10.367
_cell_length_c 4.959
_cell_angle_alpha 90.00
_cell_angle_beta 90.00
_cell_angle_gamma 90.00
loop_
_atom_site_label
_atom_site_type_symbol
_atom_site_fract_x
_atom_site_fract_y
_atom_site_fract_z
Sr1 Sr 0.000 0.000 0.000
Sr2 Sr 0.000 0.235 0.500
Fe1 Fe 0.000 0.500 0.000
Fe2 Fe 0.165 0.500 0.500
Fe3 Fe 0.250 0.250 0.000

No. 4
# Sr2CdP PBE optimized geometry
# ΔE_f: -653 meV per atom
# Volume: 35.07 Å³ per atom
# Polymorph energy (0 for the lowest one): 0.5 kJ per mole of atoms
# Total DFT energy (no corrections): -36.90 eV/cell
data_Sr2CdP
_symmetry_space_group_name_H-M 'R -3 m'
_symmetry_Int_Tables_number 166
_symmetry_space_group_name_Hall '-R 3 2"'
_cell_length_a 4.5046
_cell_length_b 4.5046
_cell_length_c 23.9484
_cell_angle_alpha 90.00
_cell_angle_beta 90.00
_cell_angle_gamma 120.00
loop_
_atom_site_label
_atom_site_type_symbol
_atom_site_fract_x
_atom_site_fract_y
_atom_site_fract_z
Sr1 Sr 0.0000 0.0000 0.2311
Cd1 Cd 0.0000 0.0000 0.0000
P1 P 0.0000 0.0000 0.5000

Question: Among the records above, which one has the highest volume?
Answer: Sr2CdP

Question: volume of number 4 (Sr2CdP)?
Answer: 35.07 Å³ per atom

Please write out number 2 again, unchanged.
# Tm2B2SbRh5 PBE optimized geometry
# Volume: 14.85 Å³ per atom
# Formation energy without anion corrections: -830.3 meV per atom
# Total DFT energy (no corrections): -142.96 eV/cell
data_Tm2B2SbRh5
_symmetry_space_group_name_H-M 'P 4/m b m'
_symmetry_Int_Tables_number 127
_symmetry_space_group_name_Hall '-P 4 2ab'
_cell_length_a 9.481
_cell_length_b 9.481
_cell_length_c 3.305
_cell_angle_alpha 90.00
_cell_angle_beta 90.00
_cell_angle_gamma 90.00
loop_
_atom_site_label
_atom_site_type_symbol
_atom_site_fract_x
_atom_site_fract_y
_atom_site_fract_z
Tm1 Tm 0.175 0.325 0.000
B1 B 0.120 0.620 0.000
Sb1 Sb 0.000 0.000 0.000
Rh1 Rh 0.000 0.500 0.500
Rh2 Rh 0.071 0.777 0.500

Question: Among the records above, which one has the highest volume?
Answer: Sr2CdP